1.
Here is crystalline Tc3Pt at its relaxed geometry from the Alexandria database. Energies are from PBE. Values from VASP.

Values from the calculation:
E_form ... -0.05 eV/atom
Offset from the most stable computed form ... 211 meV per atom

Structure (Quantum ESPRESSO input):
```
&SYSTEM
  ibrav = 0, nat = 4, ntyp = 2
/
ATOMIC_SPECIES
Tc 98.00 Tc.upf
Pt 195.08 Pt.upf
CELL_PARAMETERS angstrom
2.7528 0.0000 0.0000
-1.3764 4.5858 -0.0032
0.0000 -0.8780 4.6889
ATOMIC_POSITIONS crystal
Tc 0.2458 0.4915 0.7330
Tc 0.5000 0.0000 0.5000
Tc 0.7542 0.5085 0.2670
Pt 0.0000 0.0000 0.0000
```


2.
Here is crystalline Tc2Pt at its relaxed geometry from the Alexandria database. Energies are from PBE. Values from VASP.

Values from the calculation:
E_form ... 0.06 eV/atom
Offset from the most stable computed form ... 270 meV per atom

Structure (Quantum ESPRESSO input):
```
&SYSTEM
  ibrav = 0, nat = 3, ntyp = 2
/
ATOMIC_SPECIES
Tc 98.00 Tc.upf
Pt 195.08 Pt.upf
CELL_PARAMETERS angstrom
2.1688 -3.7565 0.0000
2.1688 3.7565 0.0000
0.0000 0.0000 2.7903
ATOMIC_POSITIONS crystal
Tc 0.6667 0.3333 0.0000
Tc 0.3333 0.6667 0.0000
Pt 0.0000 0.0000 0.5000
```


3.
Here is crystalline Tc2Pt3 at its relaxed geometry from the Alexandria database. Energies are from PBE. Values from VASP.

Values from the calculation:
E_form ... 0.01 eV/atom
Offset from the most stable computed form ... 0 meV per atom

Structure (Quantum ESPRESSO input):
```
&SYSTEM
  ibrav = 0, nat = 10, ntyp = 2
/
ATOMIC_SPECIES
Pt 195.08 Pt.upf
Tc 98.00 Tc.upf
CELL_PARAMETERS angstrom
0.0000 4.6325 6.8944
2.4076 0.0000 6.8944
2.4076 4.6325 0.0000
ATOMIC_POSITIONS crystal
Pt 0.1693 0.3307 0.3307
Pt 0.4823 0.7197 0.4646
Pt 0.5303 0.7677 0.9166
Pt 0.9193 0.0807 0.0807
Pt 0.7854 0.9166 0.7677
Pt 0.3334 0.4646 0.7197
Tc 0.9072 0.1785 0.5563
Tc 0.3579 0.5563 0.1785
Tc 0.6937 0.8921 0.3428
Tc 0.0715 0.3428 0.8921
```


4.
Here is crystalline TcPt3 at its relaxed geometry from the Alexandria database. Energies are from PBE. Values from VASP.

Values from the calculation:
E_form ... -0.05 eV/atom

Structure (Quantum ESPRESSO input):
```
&SYSTEM
  ibrav = 0, nat = 16, ntyp = 2
/
ATOMIC_SPECIES
Pt 195.08 Pt.upf
Tc 98.00 Tc.upf
CELL_PARAMETERS angstrom
4.8296 0.0000 0.0000
0.0000 9.0607 0.0000
0.0000 0.0000 5.6151
ATOMIC_POSITIONS crystal
Pt 0.2408 0.0027 0.3776
Pt 0.7408 0.4973 0.1224
Pt 0.4139 0.2500 0.6230
Pt 0.2592 0.9973 0.8776
Pt 0.7592 0.9973 0.6224
Pt 0.9139 0.2500 0.8770
Pt 0.7408 0.0027 0.1224
Pt 0.2408 0.4973 0.3776
Pt 0.0861 0.7500 0.1230
Pt 0.5861 0.7500 0.3770
Pt 0.2592 0.5027 0.8776
Pt 0.7592 0.5027 0.6224
Tc 0.9234 0.2500 0.3657
Tc 0.5766 0.7500 0.8657
Tc 0.0766 0.7500 0.6343
Tc 0.4234 0.2500 0.1343
```


5.
Here is crystalline TcPt at its relaxed geometry from the Alexandria database. Energies are from PBE. Values from VASP.

Values from the calculation:
E_form ... 0.87 eV/atom
Offset from the most stable computed form ... 1027 meV per atom

Structure (Quantum ESPRESSO input):
```
&SYSTEM
  ibrav = 0, nat = 2, ntyp = 2
/
ATOMIC_SPECIES
Tc 98.00 Tc.upf
Pt 195.08 Pt.upf
CELL_PARAMETERS angstrom
3.7055 0.0000 0.0000
1.8527 3.2091 0.0000
1.8527 1.0697 3.0255
ATOMIC_POSITIONS crystal
Tc 0.5000 0.5000 0.5000
Pt 0.0000 0.0000 0.0000
```


6.
Here is crystalline Tc2Pt at its relaxed geometry from the Alexandria database. Energies are from PBE. Values from VASP.

Values from the calculation:
E_form ... -0.21 eV/atom
Offset from the most stable computed form ... 0 meV per atom

Structure (Quantum ESPRESSO input):
```
&SYSTEM
  ibrav = 0, nat = 6, ntyp = 2
/
ATOMIC_SPECIES
Tc 98.00 Tc.upf
Pt 195.08 Pt.upf
CELL_PARAMETERS angstrom
4.8307 0.0027 0.0000
-2.4154 4.1834 0.0000
0.0000 0.0000 4.3775
ATOMIC_POSITIONS crystal
Tc 0.1685 0.5095 0.7500
Tc 0.8315 0.4905 0.2500
Tc 0.4905 0.8315 0.2500
Tc 0.5095 0.1685 0.7500
Pt 0.8317 0.8317 0.7500
Pt 0.1683 0.1683 0.2500
```


7.
Here is crystalline Tc3Pt at its relaxed geometry from the Alexandria database. Energies are from PBE. Values from VASP.

Values from the calculation:
E_form ... -0.12 eV/atom
Offset from the most stable computed form ... 147 meV per atom

Structure (Quantum ESPRESSO input):
```
&SYSTEM
  ibrav = 0, nat = 4, ntyp = 2
/
ATOMIC_SPECIES
Tc 98.00 Tc.upf
Pt 195.08 Pt.upf
CELL_PARAMETERS angstrom
-3.7723 2.4735 1.6669
-0.7390 -2.9417 -4.2445
-1.1299 -2.3454 0.9234
ATOMIC_POSITIONS crystal
Tc 0.5018 0.0000 0.5000
Tc 0.0850 0.5050 0.2475
Tc 0.5799 0.4950 0.7525
Pt 0.0000 0.0000 0.0000
```


8.
Here is crystalline Tc2Pt at its relaxed geometry from the Alexandria database. Energies are from PBE. Values from VASP.

Values from the calculation:
E_form ... 0.16 eV/atom
Offset from the most stable computed form ... 375 meV per atom

Structure (Quantum ESPRESSO input):
```
&SYSTEM
  ibrav = 0, nat = 6, ntyp = 2
/
ATOMIC_SPECIES
Pt 195.08 Pt.upf
Tc 98.00 Tc.upf
CELL_PARAMETERS angstrom
-1.3654 1.3654 12.3637
1.3654 -1.3654 12.3637
1.3654 1.3654 -12.3637
ATOMIC_POSITIONS crystal
Pt 0.0000 0.0000 0.0000
Pt 0.7500 0.2500 0.5000
Tc 0.3322 0.8322 0.5000
Tc 0.5822 0.5822 0.0000
Tc 0.1678 0.6678 0.5000
Tc 0.4178 0.4178 0.0000
```


9.
Here is crystalline Tc2Pt at its relaxed geometry from the Alexandria database. Energies are from PBE. Values from VASP.

Values from the calculation:
E_form ... -0.10 eV/atom
Offset from the most stable computed form ... 109 meV per atom

Structure (Quantum ESPRESSO input):
```
&SYSTEM
  ibrav = 0, nat = 3, ntyp = 2
/
ATOMIC_SPECIES
Tc 98.00 Tc.upf
Pt 195.08 Pt.upf
CELL_PARAMETERS angstrom
0.4407 -2.9755 3.7398
-0.8499 1.5893 4.4481
-1.7060 -0.7173 -4.4282
ATOMIC_POSITIONS crystal
Tc 0.6729 0.6729 0.0000
Tc 0.3271 0.3271 0.0000
Pt 0.0000 0.0000 0.0000
```


10.
Here is crystalline Tc2Pt3 at its relaxed geometry from the Alexandria database. Energies are from PBE. Values from VASP.

Values from the calculation:
E_form ... 0.32 eV/atom
Offset from the most stable computed form ... 312 meV per atom

Structure (Quantum ESPRESSO input):
```
&SYSTEM
  ibrav = 0, nat = 5, ntyp = 2
/
ATOMIC_SPECIES
Tc 98.00 Tc.upf
Pt 195.08 Pt.upf
CELL_PARAMETERS angstrom
-3.8998 -1.3272 1.2464
2.9934 -2.8785 -1.1302
1.6977 -0.2257 5.0715
ATOMIC_POSITIONS crystal
Tc 0.3333 0.6667 0.8768
Tc 0.6667 0.3333 0.1232
Pt 0.6667 0.3333 0.6213
Pt 0.3333 0.6667 0.3787
Pt 0.0000 0.0000 0.0000
```


11.
Here is crystalline TcTe4Pt at its relaxed geometry from the Alexandria database. Energies are from PBE. Values from VASP.

Values from the calculation:
Formation energy (no corrections) ... 1289 meV per atom
Offset from the most stable computed form ... 1464 meV per atom

Structure (Quantum ESPRESSO input):
```
&SYSTEM
  ibrav = 0, nat = 6, ntyp = 3
/
ATOMIC_SPECIES
Pt 195.08 Pt.upf
Te 127.60 Te.upf
Tc 98.00 Tc.upf
CELL_PARAMETERS angstrom
0.0911 -0.6387 6.0873
-0.2066 4.9466 3.5999
-5.0304 1.1918 3.2781
ATOMIC_POSITIONS crystal
Pt 0.7500 0.7500 0.7500
Te 0.3757 0.3757 0.8729
Te 0.3757 0.3757 0.3757
Te 0.8729 0.3757 0.3757
Te 0.3757 0.8729 0.3757
Tc 0.0000 0.0000 0.0000
```


12.
Here is crystalline TcTePt2 at its relaxed geometry from the Alexandria database. Energies are from PBE. Values from VASP.

Values from the calculation:
Formation energy (no corrections) ... 204 meV per atom

Structure (Quantum ESPRESSO input):
```
&SYSTEM
  ibrav = 0, nat = 4, ntyp = 3
/
ATOMIC_SPECIES
Pt 195.08 Pt.upf
Te 127.60 Te.upf
Tc 98.00 Tc.upf
CELL_PARAMETERS angstrom
4.7508 -0.0203 0.0047
0.8391 4.6762 -0.0047
-2.7978 -2.3246 3.0561
ATOMIC_POSITIONS crystal
Pt 0.9999 0.9999 0.0000
Pt 0.2499 0.7499 0.5000
Te 0.7500 0.2500 0.5000
Tc 0.5001 0.5001 0.0000
```